Computed, not measured: AcCdIn2 after structural relaxation at the GGA-PBE level of DFT. Values from VASP.

Structure (Quantum ESPRESSO input):
```
&SYSTEM
  ibrav = 0, nat = 16, ntyp = 3
/
ATOMIC_SPECIES
Ac 227.00 Ac.upf
Cd 112.41 Cd.upf
In 114.82 In.upf
CELL_PARAMETERS angstrom
4.685 0.000 0.000
0.000 20.694 0.000
0.000 0.000 4.859
ATOMIC_POSITIONS crystal
Ac 0.000 0.104 0.250
Ac 0.000 0.896 0.750
Ac 0.500 0.396 0.750
Ac 0.500 0.604 0.250
Cd 0.000 0.333 0.250
Cd 0.000 0.667 0.750
Cd 0.500 0.167 0.750
Cd 0.500 0.833 0.250
In 0.000 0.252 0.750
In 0.000 0.466 0.250
In 0.000 0.534 0.750
In 0.000 0.748 0.250
In 0.500 0.034 0.750
In 0.500 0.248 0.250
In 0.500 0.752 0.750
In 0.500 0.966 0.250
```

## Properties
- raw total energy (eV/atom) = -2.997
- D(E_F) (states/eV/cell) = 9.94
- energy above the most stable polymorph in this dataset (meV per atom) = 2
- space group = Cmcm (63)